1) {
  "formula": "YCoNi2",
  "functional": "GGA-PBE",
  "state": "optimized geometry",
  "lattice_angstrom": [[3.1910, 0.0000, 0.0000], [0.0000, 3.2642, 0.0000], [-0.0097, 0.0000, 5.7946]],
  "species": ["Y", "Co", "Ni", "Ni"],
  "fractional_positions": [[0.0000, 0.0000, 0.0000], [0.0000, 0.0000, 0.5000], [0.4994, 0.5000, 0.2996], [0.5006, 0.5000, 0.7004]],
  "n_ef_per_ev_cell": 6.57,
  "rho_kg_m3": 7297
}

=====

2) {
  "formula": "YCoNi2",
  "functional": "GGA-PBE",
  "state": "optimized geometry",
  "lattice_angstrom": [[4.0215, 0.0000, 0.0000], [-2.0107, 3.4827, 0.0000], [0.0000, 0.0000, 13.8398]],
  "species": ["Y", "Y", "Y", "Co", "Co", "Co", "Ni", "Ni", "Ni", "Ni", "Ni", "Ni"],
  "fractional_positions": [[0.0000, 0.0000, 0.0000], [0.3333, 0.6667, 0.6667], [0.6667, 0.3333, 0.3333], [0.0000, 0.0000, 0.5000], [0.3333, 0.6667, 0.1667], [0.6667, 0.3333, 0.8333], [0.0000, 0.0000, 0.1986], [0.0000, 0.0000, 0.8014], [0.3333, 0.6667, 0.4681], [0.3333, 0.6667, 0.8652], [0.6667, 0.3333, 0.1348], [0.6667, 0.3333, 0.5319]],
  "n_ef_per_ev_cell": 17.31,
  "rho_kg_m3": 6816
}

=====

Which of them is least stable? Easy: 1).